(1)
A plane-wave DFT calculation with PBE-GGA was carried out for a geometry-optimized YTaNb2 structure.

abc: 7.6438 7.6438 5.9598
angles: 90.00 90.00 90.00
Space group I-42d (No. 122)
Inequivalent atoms, fractional coordinates:
Y1 0.0000 0.0000 0.0000 x4
Ta1 0.0000 0.0000 0.5000 x4
Nb1 0.2264 0.2500 0.6250 x8

Output
**Energy of formation from the pure elements**: 771 meV/atom
**Electronic total energy**: -8.84 eV/atom
**Relative energy among the computed polymorphs**: 0.441 eV/atom

(2)
A plane-wave DFT calculation with PBE-GGA was carried out for a geometry-optimized OsPb8 structure.

abc: 10.2798 10.2798 4.8492
angles: 90.00 90.00 90.00
Space group I4/mmm (No. 139)
Inequivalent atoms, fractional coordinates:
Os1 0.0000 0.0000 0.0000 x2
Pb1 0.0000 0.3087 0.0000 x8
Pb2 0.1533 0.1533 0.5000 x8

Output
**Energy of formation from the pure elements**: 322 meV/atom
**Electronic total energy**: -4.22 eV/atom

(3)
A plane-wave DFT calculation with PBE-GGA was carried out for a geometry-optimized InCuH structure.

abc: 3.0948 4.3555 6.8078
angles: 71.34 89.94 89.99
Space group P-1 (No. 2)
Inequivalent atoms, fractional coordinates:
In1 0.2491 0.3999 0.2005 x2
Cu1 0.2509 0.7763 0.4488 x2
H1 0.2522 0.9032 0.1959 x2

Output
**Electronic total energy**: -3.23 eV/atom
**Relative energy among the computed polymorphs**: 0.041 eV/atom

(4)
A plane-wave DFT calculation with PBE-GGA was carried out for a geometry-optimized La3Ni2As4Rh2 structure.

abc: 4.1555 4.1555 15.2355
angles: 90.00 90.00 120.00
Space group P-3m1 (No. 164)
Inequivalent atoms, fractional coordinates:
La1 0.0000 0.0000 0.0000 x1
La2 0.0000 0.0000 0.2723 x2
Ni1 0.3333 0.6667 0.1416 x2
As1 0.3333 0.6667 0.3993 x2
As2 0.3333 0.6667 0.8659 x2
Rh1 0.3333 0.6667 0.5613 x2

Output
**Energy of formation from the pure elements**: -1007 meV/atom
**Electronic total energy**: -6.43 eV/atom

(5)
A plane-wave DFT calculation with PBE-GGA was carried out for a geometry-optimized InBiH2 structure.

abc: 6.3405 6.3405 6.3405
angles: 90.00 90.00 90.00
Space group Fm-3m (No. 225)
Inequivalent atoms, fractional coordinates:
In1 0.0000 0.0000 0.0000 x4
Bi1 0.0000 0.0000 0.5000 x4
H1 0.2500 0.2500 0.2500 x8

Output
**Electronic total energy**: -2.65 eV/atom
**Relative energy among the computed polymorphs**: 0.519 eV/atom

(6)
A plane-wave DFT calculation with PBE-GGA was carried out for a geometry-optimized RbReSb2Pb structure.

abc: 5.3395 5.3395 5.4903
angles: 90.00 90.00 90.00
Space group P4/mmm (No. 123)
Inequivalent atoms, fractional coordinates:
Rb1 0.0000 0.0000 0.0000 x1
Re1 0.5000 0.5000 0.5000 x1
Sb1 0.0000 0.5000 0.5000 x2
Pb1 0.5000 0.5000 0.0000 x1

Output
**Energy relative to the elements, uncorrected**: 0.41 eV/atom
**Electronic total energy**: -4.66 eV/atom

Question: Look up the electronic total energy of the second one.
Answer: -4.22 eV/atom

Question: Which value of electronic total energy does entry 3 give?
Answer: -3.23 eV/atom

Question: Which of these has the highest electronic total energy?
Answer: InBiH2